Entry 1:
# GGA-PBE Ca2Sc2Pb, relaxed
data_Ca2Sc2Pb
_cell_length_a 8.622
_cell_length_b 8.622
_cell_length_c 4.063
_cell_angle_alpha 90.00
_cell_angle_beta 90.00
_cell_angle_gamma 90.00
_space_group_name_H-M_alt 'P 4/m b m'
_space_group_IT_number 127
_space_group_name_Hall '-P 4 2ab'
loop_
_atom_site_label
_atom_site_type_symbol
_atom_site_fract_x
_atom_site_fract_y
_atom_site_fract_z
_atom_site_occupancy
Ca1 Ca 0.156 0.344 0.000 1
Sc1 Sc 0.141 0.641 0.500 1
Pb1 Pb 0.000 0.000 0.000 1
# energy relative to the lowest polymorph listed for this composition = 116 meV/atom
# calculated total energy = -3.84 eV/atom

=====

Entry 2:
# GGA-PBE Pm4Zn5Pt2, relaxed
data_Pm4Zn5Pt2
_cell_length_a 7.160
_cell_length_b 3.830
_cell_length_c 9.228
_cell_angle_alpha 90.00
_cell_angle_beta 94.14
_cell_angle_gamma 90.00
_space_group_name_H-M_alt 'P 1 2/m 1'
_space_group_IT_number 10
_space_group_name_Hall '-P 2y'
loop_
_atom_site_label
_atom_site_type_symbol
_atom_site_fract_x
_atom_site_fract_y
_atom_site_fract_z
_atom_site_occupancy
Pm1 Pm 0.177 0.000 0.372 1
Pm2 Pm 0.248 0.000 0.942 1
Zn1 Zn 0.199 0.500 0.657 1
Zn2 Zn 0.449 0.500 0.203 1
Zn3 Zn 0.500 0.500 0.500 1
Pt1 Pt 0.072 0.500 0.146 1
# calculated total energy = -3.97 eV/atom

=====

no.,DFT formation energy (eV per atom),size of the total moment (μB per formula unit)
1,0.24,0.00
2,-0.56,0.00